PBE LiPm3Se2Br6, optimized geometry; total DFT energy (no corrections) = -54.13 eV/f.u.; energy relative to the elements, uncorrected = -1.7462 eV per atom; density of states at the Fermi level = 0.00 states/eV/cell
1.0
-4.360 2.055 4.365
-5.791 -5.224 -3.325
5.101 -2.583 5.984
Li Br Se Pm
1 6 2 3
direct
0.500 0.000 0.000
0.246 0.675 0.836
0.754 0.838 0.164
0.736 0.846 0.691
0.754 0.325 0.164
0.264 0.154 0.309
0.246 0.162 0.836
0.744 0.331 0.663
0.256 0.669 0.337
0.500 0.500 0.500
0.500 0.000 0.500
0.000 0.500 0.000